The following is a DFT calculation (PBE-GGA) of crystalline SrReW at its relaxed geometry.

Values from the calculation:
Space group = I4mm, No. 107
E above lowest polymorph = 0 meV per atom

abc: 6.6842 6.6842 6.6842
angles: 151.74 151.74 40.39
Element x y z (fractional)
Re 0.0355 0.0355 0.0000
Sr 0.3371 0.3371 0.0000
W 0.6273 0.6273 0.0000